The following is a DFT calculation (GGA-PBE) of an optimized crystal structure of ZrSeO2.

**Raw formation energy**: -0.456 eV/atom
**Magnetization**: 0.00 μB/cell

Structure (CIF):
```
data_ZrSeO2
_chemical_formula_sum 'Zr3 Se3 O6'
_symmetry_space_group_name_H-M 'R -3 m'
_symmetry_Int_Tables_number 166
_symmetry_space_group_name_Hall '-R 3 2"'
_cell_length_a 3.5803
_cell_length_b 3.5803
_cell_length_c 17.1969
_cell_angle_alpha 90.00
_cell_angle_beta 90.00
_cell_angle_gamma 120.00
loop_
_atom_site_label
_atom_site_fract_x
_atom_site_fract_y
_atom_site_fract_z
Zr1 0.0000 0.0000 0.0000
Se1 0.0000 0.0000 0.5000
O1 0.0000 0.0000 0.1202
```